No. 1
BaMnI2 | GGA-PBEsol | optimized geometry

a b c (Å): 5.745 5.745 5.745
angles (deg): 60.00 60.00 60.00
Last column: magnetic moment on the atom in μB.
Fractional coordinates of all 4 atoms:
I 0.250 0.250 0.250  0.07
I 0.750 0.750 0.750  0.07
Mn 0.000 0.000 0.000  4.33
Ba 0.500 0.500 0.500  -0.03

D(E_F) = 0.86 states/eV per atom
crystal system = cubic
total magnetization = 5.00 Bohr magnetons per cell
space-group type = No. 225
energy relative to the elements, uncorrected = -399 meV/atom



No. 2
Zr3Ni3Sb4 | GGA-PBEsol | optimized geometry

a b c (Å): 7.807 7.807 7.807
angles (deg): 109.47 109.47 109.47
Fractional coordinates of all 20 atoms:
Ni 0.625 0.375 0.250
Ni 0.875 0.125 0.750
Ni 0.125 0.250 0.375
Ni 0.375 0.750 0.125
Ni 0.250 0.875 0.625
Ni 0.750 0.625 0.875
Sb 0.000 0.500 0.334
Sb 0.500 0.834 0.500
Sb 0.834 0.000 0.000
Sb 0.666 0.666 0.166
Sb 0.000 0.500 0.834
Sb 0.500 0.334 0.500
Sb 0.166 0.166 0.666
Sb 0.334 0.000 0.000
Zr 0.125 0.875 0.250
Zr 0.375 0.625 0.750
Zr 0.625 0.250 0.875
Zr 0.875 0.750 0.625
Zr 0.250 0.375 0.125
Zr 0.750 0.125 0.375

D(E_F) = 0.01 states/eV per atom
crystal system = cubic
total magnetization = 0.00 Bohr magnetons per cell
space-group type = No. 220
energy relative to the elements, uncorrected = -725 meV/atom



No. 3
YTaOF2 | GGA-PBEsol | optimized geometry

a b c (Å): 4.254 4.254 4.522
angles (deg): 90.00 90.00 90.00
Last column: magnetic moment on the atom in μB.
Fractional coordinates of all 5 atoms:
Y 0.000 0.000 0.000  0.05
F 0.000 0.500 0.000  0.06
F 0.500 0.000 0.000  0.06
O 0.000 0.000 0.500  -0.03
Ta 0.500 0.500 0.500  2.36

D(E_F) = 1.17 states/eV per atom
crystal system = tetragonal
total magnetization = 3.78 Bohr magnetons per cell
space-group type = No. 123
energy relative to the elements, uncorrected = -1508 meV/atom



No. 4
BeSiTe | GGA-PBEsol | optimized geometry

a b c (Å): 3.426 3.426 5.666
angles (deg): 100.82 100.82 112.26
Fractional coordinates of all 3 atoms:
Be 0.014 0.014 0.028
Si 0.623 0.623 0.246
Te 0.363 0.363 0.726

D(E_F) = 0.36 states/eV per atom
crystal system = orthorhombic
total magnetization = 0.00 Bohr magnetons per cell
space-group type = No. 42
energy relative to the elements, uncorrected = 517 meV/atom



No. 5
Hg3IrO | GGA-PBEsol | optimized geometry

a b c (Å): 5.155 5.155 5.155
angles (deg): 90.00 90.00 90.00
Last column: magnetic moment on the atom in μB.
Fractional coordinates of all 5 atoms:
Ir 0.000 0.000 0.000  0.18
Hg 0.000 0.500 0.000  0.02
Hg 0.000 0.000 0.500  0.02
Hg 0.500 0.000 0.000  0.02
O 0.500 0.500 0.500  1.21

D(E_F) = 1.94 states/eV per atom
crystal system = cubic
total magnetization = 1.71 Bohr magnetons per cell
space-group type = No. 221
energy relative to the elements, uncorrected = 943 meV/atom



No. 6
NbNF2 | GGA-PBEsol | optimized geometry

a b c (Å): 2.847 2.847 9.172
angles (deg): 81.07 81.07 60.00
Last column: magnetic moment on the atom in μB.
Fractional coordinates of all 4 atoms:
Nb 0.500 0.500 0.500  0.00
N 0.000 0.000 0.000  1.95
F 0.888 0.888 0.336  0.00
F 0.112 0.112 0.664  0.00

D(E_F) = 0.33 states/eV per atom
crystal system = trigonal
total magnetization = 2.96 Bohr magnetons per cell
space-group type = No. 166
energy relative to the elements, uncorrected = -272 meV/atom



No. 7
ZnRh2Br2 | GGA-PBEsol | optimized geometry

a b c (Å): 5.002 5.169 5.002
angles (deg): 61.06 90.00 118.94
Fractional coordinates of all 5 atoms:
Zn 0.000 0.000 0.000
Rh 0.680 0.360 0.320
Rh 0.320 0.640 0.680
Br 0.750 0.500 0.750
Br 0.250 0.500 0.250

D(E_F) = 0.52 states/eV per atom
crystal system = tetragonal
total magnetization = 0.00 Bohr magnetons per cell
space-group type = No. 139
energy relative to the elements, uncorrected = 340 meV/atom



No. 8
Sc2GaFeIr | GGA-PBEsol | optimized geometry

a b c (Å): 4.164 4.838 4.838
angles (deg): 90.00 90.00 90.00
Last column: magnetic moment on the atom in μB.
Fractional coordinates of all 5 atoms:
Sc 0.000 0.000 0.500  -0.11
Sc 0.000 0.500 0.000  -0.11
Ir 0.500 0.500 0.500  0.09
Fe 0.500 0.000 0.000  2.16
Ga 0.000 0.000 0.000  -0.10

D(E_F) = 0.87 states/eV per atom
crystal system = tetragonal
total magnetization = 1.75 Bohr magnetons per cell
calculated formation energy = 0.65 eV per atom
space-group type = No. 123



No. 9
Hf2GaSiTc | GGA-PBEsol | optimized geometry

a b c (Å): 4.439 4.801 4.801
angles (deg): 90.00 90.00 90.00
Fractional coordinates of all 5 atoms:
Si 0.500 0.500 0.500
Hf 0.000 0.000 0.500
Hf 0.000 0.500 0.000
Tc 0.500 0.000 0.000
Ga 0.000 0.000 0.000

D(E_F) = 0.99 states/eV per atom
crystal system = tetragonal
total magnetization = 0.00 Bohr magnetons per cell
space-group type = No. 123
energy relative to the elements, uncorrected = 856 meV/atom



No. 10
MnCoMo2Rh | GGA-PBEsol | optimized geometry

a b c (Å): 4.314 4.314 4.338
angles (deg): 90.00 90.00 90.00
Last column: magnetic moment on the atom in μB.
Fractional coordinates of all 5 atoms:
Co 0.500 0.500 0.500  1.73
Mo 0.000 0.500 0.000  -0.07
Mo 0.500 0.000 0.000  -0.07
Mn 0.000 0.000 0.000  0.07
Rh 0.000 0.000 0.500  0.12

D(E_F) = 1.41 states/eV per atom
crystal system = tetragonal
total magnetization = 1.73 Bohr magnetons per cell
calculated formation energy = 1.38 eV per atom
space-group type = No. 123



No. 11
AgCl2 | GGA-PBEsol | optimized geometry

a b c (Å): 3.907 5.842 5.865
angles (deg): 90.00 90.00 90.00
Fractional coordinates of all 6 atoms:
Ag 0.000 0.000 0.000
Ag 0.500 0.500 0.500
Cl 0.000 0.294 0.702
Cl 0.000 0.706 0.298
Cl 0.500 0.794 0.798
Cl 0.500 0.206 0.202

D(E_F) = 0.86 states/eV per atom
crystal system = orthorhombic
total magnetization = 0.00 Bohr magnetons per cell
space-group type = No. 58
energy relative to the elements, uncorrected = -326 meV/atom



No. 12
Ta2AlFe | GGA-PBEsol | optimized geometry

a b c (Å): 3.008 4.485 5.218
angles (deg): 115.45 106.75 90.00
Last column: magnetic moment on the atom in μB.
Fractional coordinates of all 4 atoms:
Al 0.528 0.528 0.056  0.00
Fe 0.252 0.752 0.504  1.00
Ta 0.977 0.977 0.953  -0.06
Ta 0.744 0.244 0.487  -0.05

D(E_F) = 0.60 states/eV per atom
crystal system = orthorhombic
total magnetization = 0.86 Bohr magnetons per cell
calculated formation energy = -0.13 eV per atom
space-group type = No. 44



No. 13
RbCrSe2N | GGA-PBEsol | optimized geometry

a b c (Å): 3.553 5.248 5.248
angles (deg): 90.00 90.00 90.00
Last column: magnetic moment on the atom in μB.
Fractional coordinates of all 5 atoms:
Cr 0.000 0.000 0.000  1.44
Se 0.000 0.000 0.500  -0.12
Se 0.000 0.500 0.000  -0.12
Rb 0.500 0.500 0.500  -0.01
N 0.500 0.000 0.000  -0.23

D(E_F) = 1.06 states/eV per atom
crystal system = tetragonal
total magnetization = 0.86 Bohr magnetons per cell
space-group type = No. 123
energy relative to the elements, uncorrected = -125 meV/atom



No. 14
TaRu2Pb | GGA-PBEsol | optimized geometry

a b c (Å): 3.500 3.500 5.664
angles (deg): 90.00 90.00 90.00
Last column: magnetic moment on the atom in μB.
Fractional coordinates of all 4 atoms:
Pb 0.500 0.500 0.782  0.00
Ru 0.000 0.000 0.992  0.31
Ru 0.500 0.500 0.293  -0.05
Ta 0.000 0.000 0.434  0.00

D(E_F) = 1.10 states/eV per atom
crystal system = tetragonal
total magnetization = 0.28 Bohr magnetons per cell
calculated formation energy = 0.39 eV per atom
space-group type = No. 99



No. 15
AlSb2P | GGA-PBEsol | optimized geometry

a b c (Å): 3.262 3.262 9.087
angles (deg): 90.00 90.00 90.00
Fractional coordinates of all 4 atoms:
P 0.500 0.500 0.579
Al 0.000 0.000 0.662
Sb 0.000 0.000 0.957
Sb 0.500 0.500 0.302

D(E_F) = 0.40 states/eV per atom
crystal system = tetragonal
total magnetization = 0.00 Bohr magnetons per cell
space-group type = No. 99
energy relative to the elements, uncorrected = -14 meV/atom



No. 16
TiSbAs2Ir | GGA-PBEsol | optimized geometry

a b c (Å): 4.613 4.613 5.550
angles (deg): 90.00 90.00 90.00
Last column: magnetic moment on the atom in μB.
Fractional coordinates of all 5 atoms:
Sb 0.000 0.000 0.500  -0.06
As 0.000 0.500 0.000  0.00
As 0.500 0.000 0.000  0.00
Ir 0.000 0.000 0.000  0.10
Ti 0.500 0.500 0.500  1.37

D(E_F) = 1.12 states/eV per atom
crystal system = tetragonal
total magnetization = 1.70 Bohr magnetons per cell
space-group type = No. 123
energy relative to the elements, uncorrected = 670 meV/atom



No. 17
PbBrCl | GGA-PBEsol | optimized geometry

a b c (Å): 5.010 5.010 5.010
angles (deg): 60.00 60.00 60.00
Fractional coordinates of all 3 atoms:
Pb 0.250 0.250 0.250
Br 0.000 0.000 0.000
Cl 0.500 0.500 0.500

D(E_F) = 0.00 states/eV per atom
crystal system = cubic
total magnetization = 0.00 Bohr magnetons per cell
space-group type = No. 216
energy relative to the elements, uncorrected = -972 meV/atom



No. 18
Na7Cr4P9O32 | GGA-PBEsol | optimized geometry

a b c (Å): 6.312 14.034 14.035
angles (deg): 90.00 90.42 90.00
Last column: magnetic moment on the atom in μB.
Fractional coordinates of all 104 atoms:
Na 0.647 0.905 0.008  0.00
Na 0.353 0.405 0.992  0.00
Na 0.643 0.095 0.493  0.00
Na 0.357 0.595 0.507  0.00
Na 0.858 0.743 0.654  0.00
Na 0.147 0.758 0.156  0.00
Na 0.853 0.258 0.844  0.00
Na 0.142 0.243 0.346  0.00
Na 0.750 0.999 0.750  0.00
Na 0.250 0.499 0.250  0.00
Na 0.075 0.523 0.772  0.00
Na 0.925 0.023 0.228  0.00
Na 0.425 0.979 0.272  0.00
Na 0.575 0.479 0.728  0.00
Cr 0.378 0.120 0.941  2.79
Cr 0.622 0.620 0.059  2.79
Cr 0.378 0.880 0.559  2.79
Cr 0.622 0.380 0.441  2.79
Cr 0.125 0.809 0.870  2.79
Cr 0.881 0.690 0.370  2.79
Cr 0.119 0.190 0.630  2.79
Cr 0.875 0.309 0.130  2.79
P 0.345 0.299 0.805  0.01
P 0.655 0.799 0.195  0.01
P 0.357 0.701 0.694  0.01
P 0.643 0.201 0.306  0.01
P 0.156 0.944 0.048  0.01
P 0.857 0.556 0.550  0.01
P 0.143 0.056 0.450  0.01
P 0.844 0.444 0.952  0.01
P 0.895 0.115 0.998  0.01
P 0.105 0.615 0.002  0.01
P 0.892 0.884 0.501  0.01
P 0.108 0.384 0.499  0.01
P 0.610 0.751 0.866  0.01
P 0.397 0.749 0.365  0.01
P 0.603 0.249 0.635  0.01
P 0.390 0.251 0.134  0.01
P 0.250 0.000 0.749  0.01
P 0.750 0.500 0.251  0.01
O 0.373 0.162 0.074  0.01
O 0.627 0.662 0.926  0.01
O 0.378 0.839 0.424  0.00
O 0.622 0.339 0.576  0.00
O 0.123 0.674 0.911  0.00
O 0.874 0.824 0.412  0.01
O 0.126 0.324 0.588  0.01
O 0.877 0.174 0.089  0.00
O 0.399 0.062 0.812  0.01
O 0.601 0.562 0.188  0.01
O 0.401 0.939 0.687  0.01
O 0.599 0.439 0.313  0.01
O 0.102 0.936 0.811  0.01
O 0.902 0.562 0.313  0.01
O 0.098 0.062 0.687  0.01
O 0.898 0.436 0.189  0.01
O 0.073 0.142 0.930  0.00
O 0.927 0.642 0.070  0.00
O 0.074 0.859 0.569  0.00
O 0.926 0.359 0.431  0.00
O 0.429 0.819 0.891  0.00
O 0.576 0.680 0.392  0.00
O 0.424 0.180 0.608  0.00
O 0.571 0.319 0.109  0.00
O 0.336 0.993 0.995  0.01
O 0.664 0.493 0.005  0.01
O 0.329 0.007 0.500  0.01
O 0.671 0.507 0.500  0.01
O 0.171 0.750 0.743  0.01
O 0.836 0.745 0.243  0.01
O 0.164 0.245 0.757  0.01
O 0.829 0.250 0.257  0.01
O 0.414 0.254 0.901  -0.01
O 0.586 0.754 0.099  -0.01
O 0.417 0.747 0.599  -0.01
O 0.583 0.247 0.401  -0.01
O 0.090 0.849 0.003  -0.01
O 0.922 0.650 0.504  0.00
O 0.078 0.150 0.496  0.00
O 0.910 0.349 0.997  -0.01
O 0.692 0.106 0.939  0.00
O 0.308 0.606 0.061  0.00
O 0.692 0.893 0.561  0.00
O 0.308 0.393 0.439  0.00
O 0.811 0.811 0.858  0.00
O 0.195 0.690 0.355  0.00
O 0.805 0.190 0.645  0.00
O 0.189 0.311 0.142  0.00
O 0.940 0.008 0.036  0.00
O 0.060 0.508 0.964  0.00
O 0.931 0.991 0.464  0.00
O 0.069 0.491 0.536  0.00
O 0.570 0.716 0.758  0.00
O 0.441 0.788 0.259  0.00
O 0.559 0.288 0.741  0.00
O 0.430 0.216 0.242  0.00
O 0.312 0.405 0.817  0.00
O 0.688 0.905 0.183  0.00
O 0.329 0.595 0.681  0.00
O 0.671 0.095 0.319  0.00
O 0.188 0.933 0.154  0.00
O 0.829 0.569 0.656  0.00
O 0.171 0.069 0.344  0.00
O 0.812 0.433 0.846  0.00

crystal system = monoclinic
total magnetization = 24.00 Bohr magnetons per cell
space-group type = No. 4
energy relative to the elements, uncorrected = -2201 meV/atom



No. 19
Al2Cu | GGA-PBEsol | optimized geometry

a b c (Å): 4.799 4.879 4.879
angles (deg): 76.00 60.54 60.54
Fractional coordinates of all 6 atoms:
Al 0.842 0.500 0.817
Al 0.158 0.500 0.183
Al 0.342 0.817 0.500
Al 0.658 0.183 0.500
Cu 0.250 0.000 0.000
Cu 0.750 0.000 0.000

D(E_F) = 0.33 states/eV per atom
crystal system = tetragonal
total magnetization = 0.00 Bohr magnetons per cell
calculated formation energy = -0.17 eV per atom
space-group type = No. 140



No. 20
Sc3C | GGA-PBEsol | optimized geometry

a b c (Å): 3.953 3.953 3.953
angles (deg): 90.00 90.00 90.00
Fractional coordinates of all 4 atoms:
Sc 0.000 0.500 0.500
Sc 0.500 0.000 0.500
Sc 0.500 0.500 0.000
C 0.000 0.000 0.000

D(E_F) = 1.37 states/eV per atom
crystal system = cubic
total magnetization = 0.00 Bohr magnetons per cell
calculated formation energy = 0.57 eV per atom
space-group type = No. 221